{"formula": "CsInSbTe2", "functional": "PBE", "state": "relaxed", "lattice_angstrom": [[5.973, 0.000, 0.000], [0.000, 5.973, 0.000], [0.000, 0.000, 5.698]], "species": ["Te", "Te", "In", "Sb", "Cs"], "frac_coords": [[0.500, 0.000, 0.000], [0.000, 0.500, 0.000], [0.000, 0.000, 0.000], [0.000, 0.000, 0.500], [0.500, 0.500, 0.500]], "spacegroup": "P4/mmm", "formation_energy_uncorrected_ev_per_fu": -0.25}